No. 1
The following is a GGA-PBE calculation of an optimized crystal structure of KHg2Mo, from Alexandria via LeMat-Bulk.

Output
* V: 22.55 Å³ per atom
* formation energy from the elements: 616 meV per atom
* space-group type: No. 166
* energy above the most stable polymorph in this dataset: 0.093 eV per atom

Cell: 10.896 10.896 10.896 Å, 16.43 16.43 16.43°
Element x y z (fractional)
K1 0.000 0.000 0.000
Hg1 0.240 0.240 0.240
Hg2 0.760 0.760 0.760
Mo1 0.500 0.500 0.500



No. 2
The following is a GGA-PBE calculation of an optimized crystal structure of Ba7InSb2O2, from Alexandria via LeMat-Bulk.

Output
* V: 36.26 Å³ per atom
* uncorrected formation energy: -1.356 eV/atom
* space-group type: No. 139

Cell: 15.338 15.338 15.338 Å, 159.67 159.67 28.90°
Element x y z (fractional)
Ba1 0.000 0.000 0.000
Ba2 0.098 0.598 0.500
Ba3 0.201 0.201 0.000
Ba4 0.402 0.902 0.500
Ba5 0.598 0.098 0.500
Ba6 0.799 0.799 0.000
Ba7 0.902 0.402 0.500
In1 0.500 0.500 0.000
Sb1 0.320 0.320 0.000
Sb2 0.680 0.680 0.000
O1 0.099 0.099 0.000
O2 0.901 0.901 0.000



No. 3
The following is a GGA-PBE calculation of an optimized crystal structure of Np3Fe5Ge6, from Alexandria via LeMat-Bulk.

Output
* V: 16.28 Å³ per atom
* formation energy from the elements: -132 meV per atom
* space-group type: No. 59

Cell: 4.173 13.213 8.268 Å, 90.00 90.00 90.00°
Element x y z (fractional)
Np1 0.250 0.035 0.228
Np2 0.250 0.465 0.228
Np3 0.250 0.750 0.249
Np4 0.750 0.250 0.751
Np5 0.750 0.535 0.772
Np6 0.750 0.965 0.772
Fe1 0.250 0.081 0.605
Fe2 0.250 0.419 0.605
Fe3 0.250 0.643 0.957
Fe4 0.250 0.750 0.710
Fe5 0.250 0.857 0.957
Fe6 0.750 0.143 0.043
Fe7 0.750 0.250 0.290
Fe8 0.750 0.357 0.043
Fe9 0.750 0.581 0.395
Fe10 0.750 0.919 0.395
Ge1 0.250 0.100 0.890
Ge2 0.250 0.250 0.112
Ge3 0.250 0.250 0.466
Ge4 0.250 0.400 0.890
Ge5 0.250 0.600 0.536
Ge6 0.250 0.900 0.536
Ge7 0.750 0.100 0.464
Ge8 0.750 0.400 0.464
Ge9 0.750 0.600 0.110
Ge10 0.750 0.750 0.534
Ge11 0.750 0.750 0.888
Ge12 0.750 0.900 0.110



> Number 1 is which compound?

KHg2Mo



> V of number 1 (KHg2Mo)?

22.55 Å³ per atom